No. 1
Here is crystalline Ac3TlPtCl at its relaxed geometry from Alexandria via LeMat-Bulk. Energies are from PBE.

extended XYZ file:
```
12
Lattice="4.820 0.000 0.000 0.000 8.230 0.213 0.000 -3.045 10.243" Properties=species:S:1:pos:R:3 pbc="T T T"
Ac 1.205 -1.999 8.810
Ac 1.205 4.425 4.830
Ac 3.615 3.176 1.491
Ac 1.205 2.009 8.965
Ac 3.615 0.759 5.626
Ac 3.615 7.183 1.646
Tl 1.205 1.217 2.973
Tl 3.615 3.967 7.483
Pt 3.615 0.031 8.747
Pt 1.205 5.153 1.710
Cl 1.205 -0.996 6.047
Cl 3.615 6.180 4.410
```

The calculation puts the formation energy (no corrections) at -0.96 eV per atom. As for the total moment: 0.000 μB/f.u. The space group is P2_1/m, No. 11. For the final energy, the calculation gives -28.32 eV per formula unit.

---

No. 2
Here is crystalline TmHg2Pb at its relaxed geometry from Alexandria via LeMat-Bulk. Energies are from PBE.

extended XYZ file:
```
4
Lattice="3.701 0.000 0.000 1.851 3.205 0.000 1.851 1.068 9.360" Properties=species:S:1:pos:R:3 pbc="T T T"
Hg 1.851 1.068 7.142
Hg 1.851 1.068 2.211
Pb 3.701 2.137 4.692
Tm 5.552 3.205 9.354
```

As for the total moment: 0.000 μB/f.u. The space group is R3m, No. 160. For the final energy, the calculation gives -9.50 eV per formula unit. Its formation energy from the elements is -179 meV per atom.